# 1
## MnAlBi2Cl (PBE)

Data for a relaxed MnAlBi2Cl crystal.

Summary:
Formation energy (no corrections) = 0.514 eV/atom

abc: 5.4669 5.0000 5.4669
angles: 90.00 90.00 90.00
With the nearest neighbours (Å) after each atom.
Positions (direct):
Al: 0.0000 0.0000 0.0000  2 Mn 2.50, 4 Bi 2.73
Mn: 0.0000 0.5000 0.0000  2 Al 2.50
Bi: 0.0000 0.0000 0.5000  2 Al 2.73
Bi: 0.5000 0.0000 0.0000  2 Al 2.73
Cl: 0.5000 0.5000 0.5000  8 Bi 3.70, 4 Mn 3.87


# 2
## LiSe2Cl (PBE)

Data for a relaxed LiSe2Cl crystal.

Summary:
Formation energy (no corrections) = -0.443 eV/atom
E above lowest polymorph = 325 meV/atom

abc: 7.5597 7.5597 4.9021
angles: 90.00 90.00 144.13
With the nearest neighbours (Å) after each atom.
Positions (direct):
Cl: 0.5000 0.0000 0.5000  2 Li 2.33
Li: 0.0000 0.5000 0.5000  2 Cl 2.33
Se: 0.0000 0.0000 0.0000  2 Se 2.33
Se: 0.5000 0.5000 0.0000  2 Se 2.33


# 3
## Sm5Sc2Bi5 (PBE)

Data for a relaxed Sm5Sc2Bi5 crystal.

Summary:
Formation energy = -632.4 meV per atom

abc: 4.4698 7.7059 12.7059
angles: 111.85 90.00 106.86
With the nearest neighbours (Å) after each atom.
Positions (direct):
Sm: 0.5000 0.0000 0.5000  6 Bi 3.18-3.54
Sm: 0.6638 0.3276 0.0333  5 Bi 3.20-3.39, 2 Sc 3.56
Sm: 0.7240 0.4480 0.3439  5 Bi 3.08-3.30
Sm: 0.2760 0.5520 0.6561  5 Bi 3.08-3.30
Sm: 0.3362 0.6724 0.9667  5 Bi 3.20-3.39, 2 Sc 3.56
Sc: 0.0566 0.1133 0.7990  4 Bi 2.88-3.00
Sc: 0.9434 0.8867 0.2010  4 Bi 2.88-3.00
Bi: 0.1098 0.2196 0.4160  1 Sc 2.88, 5 Sm 3.08-3.18
Bi: 0.6847 0.3695 0.7795  2 Sc 3.00, 3 Sm 3.30-3.36
Bi: 0.3153 0.6305 0.2205  2 Sc 3.00, 3 Sm 3.30-3.36
Bi: 0.8902 0.7804 0.5840  1 Sc 2.88, 5 Sm 3.08-3.18
Bi: 0.0000 0.0000 0.0000  2 Sc 2.98, 4 Sm 3.20


# 4
## MnVIn2 (PBE)

Data for a relaxed MnVIn2 crystal.

Summary:
Formation energy = 605.7 meV per atom
E above lowest polymorph = 285 meV/atom

abc: 7.4950 7.4950 6.0279
angles: 51.56 51.56 90.00
With the nearest neighbours (Å) after each atom.
Positions (direct):
Mn: 0.0000 0.0000 0.0000  4 In 2.70, 2 V 2.87
Mn: 0.7500 0.2500 0.5000  4 In 2.70, 2 V 2.87
In: 0.6332 0.1250 0.2500  2 Mn 2.70, 2 V 2.79, 2 In 2.87
In: 0.1168 0.6250 0.2500  2 Mn 2.70, 2 V 2.79, 2 In 2.87
In: 0.3750 0.3668 0.7500  2 Mn 2.70, 2 V 2.79, 2 In 2.87
In: 0.8750 0.8832 0.7500  2 Mn 2.70, 2 V 2.79, 2 In 2.87
V: 0.5000 0.5000 0.0000  4 In 2.79, 2 Mn 2.87
V: 0.2500 0.7500 0.5000  4 In 2.79, 2 Mn 2.87


Which formula does entry 4 have? MnVIn2